[1]
First-principles (PBE) data for HoThAs2 after structural relaxation, as listed in Alexandria.

abc: 4.1343 4.1343 21.3926
angles: 90.00 90.00 120.00
Last column: nearest neighbours and their distance in Å.
Space group R3m (No. 160, hexagonal axes)
Unique sites:
Ho (0.0000, 0.0000, 0.0000) [3 per cell]  6 As 2.90-3.02
Th (0.0000, 0.0000, 0.8261) [3 per cell]  6 As 2.97-3.04
As (0.0000, 0.0000, 0.2472) [3 per cell]  3 Ho 3.02, 3 Th 3.04
As (0.0000, 0.0000, 0.4105) [3 per cell]  3 Ho 2.90, 3 Th 2.97

Values from the calculation:
E above lowest polymorph = 15.1 kJ per mole of atoms
Density = 8.6 g cm⁻³
Formation energy from the elements = -1.31 eV/atom
Crystal system = trigonal
Volume = 317 Å³ per cell

***

[2]
First-principles (PBE) data for CaTcAs2 after structural relaxation, as listed in Alexandria.

abc: 7.4798 3.3810 6.4704
angles: 90.00 103.86 90.00
Last column: nearest neighbours and their distance in Å.
Space group C2/m (No. 12)
Unique sites:
Ca (0.0000, 0.0000, 0.0000) [2 per cell]  6 As 2.94-2.97
Tc (0.0000, 0.5000, 0.5000) [2 per cell]  6 As 2.55-2.59
As (0.2355, 0.0000, 0.6950) [4 per cell]  3 Tc 2.55-2.59

Values from the calculation:
E above lowest polymorph = 0.0 kJ per mole of atoms
Density = 6.0 g cm⁻³
Formation energy from the elements = -0.45 eV/atom
Crystal system = monoclinic
Volume = 159 Å³ per cell

***

[3]
First-principles (PBE) data for ZrMo2Os after structural relaxation, as listed in Alexandria.

abc: 2.8266 2.8266 29.3265
angles: 90.00 90.00 120.00
Last column: nearest neighbours and their distance in Å.
Space group R3m (No. 160, hexagonal axes)
Unique sites:
Zr (0.0000, 0.0000, 0.0000) [3 per cell]  6 Zr 2.83, 3 Os 3.04, 3 Mo 3.12
Mo (0.0000, 0.0000, 0.2426) [3 per cell]  9 Mo 2.83-2.91, 3 Zr 3.12
Mo (0.0000, 0.0000, 0.4938) [3 per cell]  3 Os 2.69, 9 Mo 2.83-2.91
Os (0.0000, 0.0000, 0.7541) [3 per cell]  3 Mo 2.69, 6 Os 2.83

Values from the calculation:
E above lowest polymorph = 37.8 kJ per mole of atoms
Density = 11.6 g cm⁻³
Formation energy from the elements = 0.27 eV/atom
Crystal system = trigonal
Volume = 203 Å³ per cell

***

[4]
First-principles (PBE) data for YMnCu2 after structural relaxation, as listed in Alexandria.

abc: 4.2767 4.2767 13.6180
angles: 90.00 90.00 120.00
Last column: nearest neighbours and their distance in Å.
Space group R-3m (No. 166, hexagonal axes)
Unique sites:
Y (0.0000, 0.0000, 0.0000) [3 per cell]  8 Cu 2.81-3.01
Mn (0.0000, 0.0000, 0.5000) [3 per cell]  6 Cu 2.53
Cu (0.0000, 0.0000, 0.2065) [6 per cell]  3 Mn 2.53, 3 Cu 2.70, 1 Y 2.81

Values from the calculation:
Density = 6.3 g cm⁻³
Formation energy from the elements = -0.05 eV/atom
Crystal system = trigonal
Volume = 216 Å³ per cell